Material: NpGeS4
Method: DFT, PBE-GGA
State: relaxed

CIF file:
```
data_NpGeS4
_chemical_formula_sum 'Np4 Ge4 S16'
_symmetry_space_group_name_H-M 'I 41/a m d'
_symmetry_Int_Tables_number 141
_cell_length_a 8.750
_cell_length_b 8.750
_cell_length_c 7.720
_cell_angle_alpha 90.00
_cell_angle_beta 90.00
_cell_angle_gamma 90.00
loop_
_symmetry_equiv_pos_as_xyz
'x,y,z'
'-x,-y,-z'
'-y+1/4,x+3/4,z+1/4'
'y+1/4,-x+3/4,-z+1/4'
'-x+1/2,-y,z+1/2'
'x+1/2,y,-z+1/2'
'y+1/4,-x+1/4,z+3/4'
'-y+1/4,x+1/4,-z+3/4'
'x,-y,-z'
'-x,y,z'
'-y+1/4,-x+1/4,-z+3/4'
'y+1/4,x+1/4,z+3/4'
'-x+1/2,y,-z+1/2'
'x+1/2,-y,z+1/2'
'y+1/4,x+3/4,-z+1/4'
'-y+1/4,-x+3/4,z+1/4'
'x+1/2,y+1/2,z+1/2'
'-x+1/2,-y+1/2,-z+1/2'
'-y+3/4,x+1/4,z+3/4'
'y+3/4,-x+1/4,-z+3/4'
'-x,-y+1/2,z'
'x,y+1/2,-z'
'y+3/4,-x+3/4,z+1/4'
'-y+3/4,x+3/4,-z+1/4'
'x+1/2,-y+1/2,-z+1/2'
'-x+1/2,y+1/2,z+1/2'
'-y+3/4,-x+3/4,-z+1/4'
'y+3/4,x+3/4,z+1/4'
'-x,y+1/2,-z'
'x,-y+1/2,z'
'y+3/4,x+1/4,-z+3/4'
'-y+3/4,-x+1/4,z+3/4'
loop_
_atom_site_label
_atom_site_type_symbol
_atom_site_fract_x
_atom_site_fract_y
_atom_site_fract_z
Np1 Np 0.000 0.250 0.375
Ge1 Ge 0.000 0.250 0.875
S1 S 0.000 0.067 0.670
```

## Properties
energy relative to the elements, uncorrected: -707.6 meV per atom
energy: -153.25 eV for the cell shown

---

Material: Rb2Np3PdS8
Method: DFT, PBE-GGA
State: relaxed

CIF file:
```
data_Rb2Np3PdS8
_chemical_formula_sum 'Rb6 Np9 Pd3 S24'
_symmetry_space_group_name_H-M 'R 3 m'
_symmetry_Int_Tables_number 160
_symmetry_space_group_name_Hall 'R 3 -2"'
_cell_length_a 7.7606
_cell_length_b 7.7606
_cell_length_c 24.8117
_cell_angle_alpha 90.00
_cell_angle_beta 90.00
_cell_angle_gamma 120.00
loop_
_atom_site_label
_atom_site_type_symbol
_atom_site_fract_x
_atom_site_fract_y
_atom_site_fract_z
Rb1 Rb 0.0000 0.0000 0.0000
Rb2 Rb 0.0000 0.0000 0.3511
Np1 Np 0.1682 0.3365 0.1840
Pd1 Pd 0.0000 0.0000 0.8475
S1 S 0.0000 0.0000 0.1266
S2 S 0.0000 0.0000 0.5775
S3 S 0.0025 0.5013 0.1252
S4 S 0.1694 0.3388 0.9088
```

## Properties
energy relative to the elements, uncorrected: -1118.3 meV per atom
energy: -283.88 eV for the cell shown

---

Material: LaPm3Pb2
Method: DFT, PBE-GGA
State: relaxed

CIF file:
```
data_LaPm3Pb2
_chemical_formula_sum 'La1 Pm3 Pb2'
_symmetry_space_group_name_H-M 'P -4 m 2'
_symmetry_Int_Tables_number 115
_symmetry_space_group_name_Hall 'P -4 -2'
_cell_length_a 4.676
_cell_length_b 4.676
_cell_length_c 8.970
_cell_angle_alpha 90.00
_cell_angle_beta 90.00
_cell_angle_gamma 90.00
loop_
_atom_site_label
_atom_site_type_symbol
_atom_site_fract_x
_atom_site_fract_y
_atom_site_fract_z
La1 La 0.000 0.000 0.000
Pm1 Pm 0.000 0.500 0.350
Pm2 Pm 0.500 0.500 0.000
Pb1 Pb 0.000 0.500 0.714
```

## Properties
ΔE_f: -0.439 eV per atom
energy: -29.23 eV for the cell shown

---

Material: AlIr3Pd
Method: DFT, PBE-GGA
State: relaxed

CIF file:
```
data_AlIr3Pd
_chemical_formula_sum 'Al1 Ir3 Pd1'
_symmetry_space_group_name_H-M 'P m -3 m'
_symmetry_Int_Tables_number 221
_symmetry_space_group_name_Hall '-P 4 2 3'
_cell_length_a 4.441
_cell_length_b 4.441
_cell_length_c 4.441
_cell_angle_alpha 90.00
_cell_angle_beta 90.00
_cell_angle_gamma 90.00
loop_
_atom_site_label
_atom_site_type_symbol
_atom_site_fract_x
_atom_site_fract_y
_atom_site_fract_z
Al1 Al 0.000 0.000 0.000
Ir1 Ir 0.000 0.000 0.500
Pd1 Pd 0.500 0.500 0.500
```

## Properties
ΔE_f: 1.150 eV per atom
energy: -29.77 eV for the cell shown

---

Material: Pr2SCl3
Method: DFT, PBE-GGA
State: relaxed

CIF file:
```
data_Pr2SCl3
_chemical_formula_sum 'Pr8 S4 Cl12'
_symmetry_space_group_name_H-M 'C 1 2/m 1'
_symmetry_Int_Tables_number 12
_symmetry_space_group_name_Hall '-C 2y'
_cell_length_a 16.787
_cell_length_b 4.224
_cell_length_c 12.125
_cell_angle_alpha 90.00
_cell_angle_beta 122.89
_cell_angle_gamma 90.00
loop_
_atom_site_label
_atom_site_type_symbol
_atom_site_fract_x
_atom_site_fract_y
_atom_site_fract_z
Pr1 Pr 0.107 0.000 0.452
Pr2 Pr 0.150 0.500 0.859
S1 S 0.092 0.000 0.672
Cl1 Cl 0.055 0.500 0.260
Cl2 Cl 0.147 0.000 0.022
Cl3 Cl 0.239 0.500 0.606
```

## Properties
energy relative to the elements, uncorrected: -2056.6 meV per atom
energy: -126.26 eV for the cell shown